No. 1
The following is a SCAN calculation of Be2CuPdRu at its PBEsol-relaxed geometry, from the Alexandria database.

Unit cell a=3.9260 b=3.9260 c=4.4030 alpha=90.00 beta=90.00 gamma=90.00
Last column: nearest neighbours and their distance in Å.
Fractional coordinates of all 5 atoms:
Pd: 0.0000 0.0000 0.5000  2 Cu 2.20
Ru: 0.5000 0.5000 0.5000  4 Pd 2.78, 8 Be 2.95
Cu: 0.0000 0.0000 0.0000  4 Be 1.96
Be: 0.0000 0.5000 0.0000  2 Cu 1.96
Be: 0.5000 0.0000 0.0000  2 Cu 1.96

crystal system: tetragonal
ΔH_f (0 K): 852 meV per atom
calculated total energy: -87.25 eV per cell
ρ: 7.073 g/cm3


No. 2
The following is a SCAN calculation of La2AlCl at its PBEsol-relaxed geometry, from the Alexandria database.

Unit cell a=4.0288 b=4.0288 c=8.1371 alpha=75.67 beta=75.67 gamma=60.00
Last column: nearest neighbours and their distance in Å.
Fractional coordinates of all 4 atoms:
Al: 0.5000 0.5000 0.5000  6 La 3.12
La: 0.7447 0.7447 0.7660  3 Cl 2.96, 3 Al 3.12
La: 0.2553 0.2553 0.2340  3 Cl 2.96, 3 Al 3.12
Cl: 0.0000 0.0000 0.0000  6 La 2.96

uncorrected formation energy: -1.02 eV/atom
crystal system: trigonal
calculated total energy: -106.03 eV per cell
ρ: 5.155 g/cm3


No. 3
The following is a SCAN calculation of Ag3Mo at its PBEsol-relaxed geometry, from the Alexandria database.

Unit cell a=2.6838 b=4.8900 c=5.1479 alpha=96.48 beta=90.00 gamma=105.93
Last column: nearest neighbours and their distance in Å.
Fractional coordinates of all 4 atoms:
Mo: 0.5000 0.0000 0.0000  2 Mo 2.68, 10 Ag 2.81-2.90
Ag: 0.0000 0.0000 0.5000  8 Ag 2.68-2.89, 4 Mo 2.90
Ag: 0.7512 0.5025 0.7541  9 Ag 2.68-2.94, 3 Mo 2.81-2.86
Ag: 0.2488 0.4975 0.2459  9 Ag 2.68-2.94, 3 Mo 2.81-2.86

crystal system: monoclinic
ΔH_f (0 K): 512 meV per atom
calculated total energy: -126.94 eV per cell
ρ: 10.798 g/cm3


No. 4
The following is a SCAN calculation of ZrB at its PBEsol-relaxed geometry, from the Alexandria database.

Unit cell a=3.5470 b=3.5470 c=5.2669 alpha=90.00 beta=90.00 gamma=120.00
Last column: nearest neighbours and their distance in Å.
Fractional coordinates of all 4 atoms:
B: 0.0000 0.0000 0.5000  6 Zr 2.43, 2 B 2.63
B: 0.0000 0.0000 0.0000  6 Zr 2.43, 2 B 2.63
Zr: 0.3333 0.6667 0.2500  6 B 2.43
Zr: 0.6667 0.3333 0.7500  6 B 2.43

crystal system: hexagonal
ΔH_f (0 K): -477 meV per atom
calculated total energy: -78.17 eV per cell
ρ: 5.905 g/cm3


No. 5
The following is a SCAN calculation of HfZn2Os2 at its PBEsol-relaxed geometry, from the Alexandria database.

Unit cell a=3.3877 b=3.3877 c=7.2239 alpha=103.56 beta=103.56 gamma=90.00
Last column: nearest neighbours and their distance in Å.
Fractional coordinates of all 5 atoms:
Zn: 0.2500 0.7500 0.5000  4 Zn 2.40, 4 Os 2.63
Zn: 0.7500 0.2500 0.5000  4 Zn 2.40, 4 Os 2.63
Os: 0.6028 0.6028 0.2055  4 Zn 2.63, 4 Hf 2.77, 1 Os 2.80
Os: 0.3972 0.3972 0.7945  4 Zn 2.63, 4 Hf 2.77, 1 Os 2.80
Hf: 0.0000 0.0000 0.0000  8 Os 2.77

crystal system: tetragonal
ΔH_f (0 K): 67 meV per atom
calculated total energy: -233.13 eV per cell
ρ: 14.644 g/cm3


No. 6
The following is a SCAN calculation of TlIn2Hg at its PBEsol-relaxed geometry, from the Alexandria database.

Unit cell a=3.5007 b=5.4078 c=6.0441 alpha=110.21 beta=106.83 gamma=90.00
Last column: nearest neighbours and their distance in Å.
Fractional coordinates of all 4 atoms:
Tl: 0.5000 0.0000 0.0000  4 Hg 3.22, 6 In 3.35-3.51, 2 Tl 3.50
In: 0.2628 0.2611 0.5257  2 Hg 3.11, 4 In 3.22-3.24, 2 Tl 3.35
In: 0.7372 0.7389 0.4743  2 Hg 3.11, 4 In 3.22-3.24, 2 Tl 3.35
Hg: 0.0000 0.5000 0.0000  4 In 3.11, 4 Tl 3.22

crystal system: monoclinic
ΔH_f (0 K): 40 meV per atom
calculated total energy: -207.14 eV per cell
ρ: 10.318 g/cm3


No. 7
The following is a SCAN calculation of Ba4TlCl at its PBEsol-relaxed geometry, from the Alexandria database.

Unit cell a=7.1337 b=7.1337 c=7.1337 alpha=60.00 beta=60.00 gamma=60.00
Last column: nearest neighbours and their distance in Å.
Fractional coordinates of all 6 atoms:
Ba: 0.3749 0.8752 0.3749  6 Ba 3.57
Ba: 0.8752 0.3749 0.3749  6 Ba 3.57
Ba: 0.3749 0.3749 0.3749  6 Ba 3.57
Ba: 0.3749 0.3749 0.8752  6 Ba 3.57
Tl: 0.0000 0.0000 0.0000  12 Ba 4.18, 4 Cl 4.37
Cl: 0.7500 0.7500 0.7500  12 Ba 4.18, 4 Tl 4.37

uncorrected formation energy: -0.06 eV/atom
crystal system: cubic
calculated total energy: -238.92 eV per cell
ρ: 5.105 g/cm3


No. 8
The following is a SCAN calculation of Na2As2N at its PBEsol-relaxed geometry, from the Alexandria database.

Unit cell a=4.7398 b=6.1146 c=6.1146 alpha=90.00 beta=90.00 gamma=90.00
Last column: nearest neighbours and their distance in Å.
Fractional coordinates of all 10 atoms:
As: 0.0000 0.6504 0.1504  2 N 2.33, 1 As 2.60
As: 0.0000 0.8496 0.6504  2 N 2.33, 1 As 2.60
As: 0.0000 0.1504 0.3496  2 N 2.33, 1 As 2.60
As: 0.0000 0.3496 0.8496  2 N 2.33, 1 As 2.60
Na: 0.5000 0.1699 0.6699  6 As 2.83-3.08, 1 Na 2.94
Na: 0.5000 0.8301 0.3301  6 As 2.83-3.08, 1 Na 2.94
Na: 0.5000 0.3301 0.1699  6 As 2.83-3.08, 1 Na 2.94
Na: 0.5000 0.6699 0.8301  6 As 2.83-3.08, 1 Na 2.94
N: 0.0000 0.5000 0.5000  4 As 2.33
N: 0.0000 0.0000 0.0000  4 As 2.33

uncorrected formation energy: 0.39 eV/atom
crystal system: tetragonal
calculated total energy: -112.31 eV per cell
ρ: 3.932 g/cm3


No. 9
The following is a SCAN calculation of NaAl2SiN at its PBEsol-relaxed geometry, from the Alexandria database.

Unit cell a=3.9918 b=3.9918 c=4.9091 alpha=90.00 beta=90.00 gamma=90.00
Last column: nearest neighbours and their distance in Å.
Fractional coordinates of all 5 atoms:
Al: 0.5000 0.0000 0.0000  2 N 2.00
Al: 0.0000 0.5000 0.0000  2 N 2.00
Si: 0.0000 0.0000 0.5000  2 N 2.45
N: 0.0000 0.0000 0.0000  4 Al 2.00
Na: 0.5000 0.5000 0.5000  4 Si 2.82

uncorrected formation energy: 0.35 eV/atom
crystal system: tetragonal
calculated total energy: -37.25 eV per cell
ρ: 2.527 g/cm3


No. 10
The following is a SCAN calculation of AgMo2Ru at its PBEsol-relaxed geometry, from the Alexandria database.

Unit cell a=4.4136 b=4.4136 c=4.4136 alpha=60.00 beta=60.00 gamma=60.00
Last column: nearest neighbours and their distance in Å.
Fractional coordinates of all 4 atoms:
Ru: 0.5000 0.5000 0.5000  8 Mo 2.70
Ag: 0.0000 0.0000 0.0000  8 Mo 2.70
Mo: 0.7500 0.7500 0.7500  4 Ag 2.70, 4 Ru 2.70
Mo: 0.2500 0.2500 0.2500  4 Ru 2.70, 4 Ag 2.70

crystal system: cubic
ΔH_f (0 K): 736 meV per atom
calculated total energy: -133.02 eV per cell
ρ: 10.948 g/cm3


No. 11
The following is a SCAN calculation of SiP2SeO at its PBEsol-relaxed geometry, from the Alexandria database.

Unit cell a=3.3187 b=4.6917 c=4.6917 alpha=90.00 beta=90.00 gamma=90.00
Last column: nearest neighbours and their distance in Å.
Fractional coordinates of all 5 atoms:
Si: 0.0000 0.0000 0.0000  2 O 1.66
Se: 0.5000 0.5000 0.5000  8 P 2.87
P: 0.0000 0.5000 0.0000  2 Si 2.35
P: 0.0000 0.0000 0.5000  2 Si 2.35
O: 0.5000 0.0000 0.0000  2 Si 1.66

uncorrected formation energy: -0.14 eV/atom
crystal system: tetragonal
calculated total energy: -57.84 eV per cell
ρ: 4.205 g/cm3


No. 12
The following is a SCAN calculation of CdSe3 at its PBEsol-relaxed geometry, from the Alexandria database.

Unit cell a=4.3528 b=4.3528 c=4.3528 alpha=90.00 beta=90.00 gamma=90.00
Last column: nearest neighbours and their distance in Å.
Fractional coordinates of all 4 atoms:
Cd: 0.0000 0.0000 0.0000  12 Se 3.08
Se: 0.5000 0.5000 0.0000  8 Se 3.08, 4 Cd 3.08
Se: 0.5000 0.0000 0.5000  8 Se 3.08, 4 Cd 3.08
Se: 0.0000 0.5000 0.5000  4 Cd 3.08, 8 Se 3.08

uncorrected formation energy: 0.46 eV/atom
crystal system: cubic
calculated total energy: -88.80 eV per cell
ρ: 7.033 g/cm3


No. 13
The following is a SCAN calculation of SrNbO2 at its PBEsol-relaxed geometry, from the Alexandria database.

Unit cell a=4.9035 b=4.9035 c=6.7467 alpha=111.31 beta=111.31 gamma=90.00
Last column: nearest neighbours and their distance in Å.
Fractional coordinates of all 8 atoms:
Nb: 0.0000 0.0000 0.0000  4 O 2.02
Nb: 0.2500 0.7500 0.5000  4 O 2.02
O: 0.2672 0.8750 0.2500  2 Nb 2.02
O: 0.1250 0.0172 0.7500  2 Nb 2.02
O: 0.9828 0.3750 0.2500  2 Nb 2.02
O: 0.6250 0.7328 0.7500  2 Nb 2.02
Sr: 0.7500 0.2500 0.5000  4 O 2.58
Sr: 0.5000 0.5000 0.0000  4 O 2.58

uncorrected formation energy: -1.95 eV/atom
crystal system: tetragonal
calculated total energy: -151.31 eV per cell
ρ: 5.072 g/cm3


No. 14
The following is a SCAN calculation of Zr2AlW at its PBEsol-relaxed geometry, from the Alexandria database.

Unit cell a=2.9147 b=2.9147 c=9.1396 alpha=90.00 beta=90.00 gamma=107.19
Last column: nearest neighbours and their distance in Å.
Fractional coordinates of all 4 atoms:
Zr: 0.0000 0.0000 0.2423  2 W 2.81, 4 Zr 2.91, 2 Al 2.92
Zr: 0.0000 0.0000 0.7577  2 W 2.81, 4 Zr 2.91, 2 Al 2.92
Al: 0.5000 0.5000 0.5000  4 Al 2.91, 4 Zr 2.92
W: 0.5000 0.5000 0.0000  4 Zr 2.81, 4 W 2.91

crystal system: orthorhombic
ΔH_f (0 K): -33 meV per atom
calculated total energy: -138.97 eV per cell
ρ: 8.804 g/cm3


No. 15
The following is a SCAN calculation of Sr2TaTl at its PBEsol-relaxed geometry, from the Alexandria database.

Unit cell a=3.4514 b=3.4514 c=11.4536 alpha=81.33 beta=81.33 gamma=60.00
Last column: nearest neighbours and their distance in Å.
Fractional coordinates of all 4 atoms:
Ta: 0.5071 0.5071 0.4786  3 Tl 3.03, 3 Sr 3.28
Tl: 0.2411 0.2411 0.2767  3 Ta 3.03, 3 Sr 3.37
Sr: 0.7635 0.7635 0.7094  3 Ta 3.28, 6 Sr 3.45
Sr: 0.9882 0.9882 0.0353  3 Tl 3.37, 6 Sr 3.45

crystal system: trigonal
ΔH_f (0 K): 689 meV per atom
calculated total energy: -180.74 eV per cell
ρ: 8.000 g/cm3


No. 16
The following is a SCAN calculation of LiMn2Co at its PBEsol-relaxed geometry, from the Alexandria database.

Unit cell a=2.4814 b=3.4901 c=4.9892 alpha=90.00 beta=90.00 gamma=90.00
Last column: nearest neighbours and their distance in Å.
Fractional coordinates of all 4 atoms:
Mn: 0.0000 0.0000 0.0045  6 Mn 2.47-2.48, 2 Co 2.49-2.50, 4 Li 2.52
Mn: 0.5000 0.5000 0.2497  2 Li 2.45-2.54, 6 Mn 2.47-2.48, 4 Co 2.49
Li: 0.5000 0.5000 0.7400  4 Co 2.44, 6 Mn 2.45-2.54, 2 Li 2.48
Co: 0.0000 0.0000 0.5058  4 Li 2.44, 2 Co 2.48, 6 Mn 2.49-2.50

crystal system: orthorhombic
ΔH_f (0 K): 149 meV per atom
calculated total energy: -55.61 eV per cell
ρ: 6.754 g/cm3


No. 17
The following is a SCAN calculation of FeTc2Cl at its PBEsol-relaxed geometry, from the Alexandria database.

Unit cell a=2.7541 b=2.7541 c=8.3443 alpha=90.00 beta=90.00 gamma=116.51
Last column: nearest neighbours and their distance in Å.
Fractional coordinates of all 4 atoms:
Fe: 0.5000 0.5000 0.2562  2 Cl 2.38, 2 Tc 2.55
Tc: 0.5000 0.5000 0.7574  6 Tc 2.52-2.75, 2 Cl 2.72
Tc: 0.0000 0.0000 0.0047  6 Tc 2.52-2.75, 2 Fe 2.55
Cl: 0.0000 0.0000 0.4817  2 Fe 2.38

uncorrected formation energy: 0.37 eV/atom
crystal system: orthorhombic
calculated total energy: -94.76 eV per cell
ρ: 8.423 g/cm3


No. 18
The following is a SCAN calculation of NbB2WI at its PBEsol-relaxed geometry, from the Alexandria database.

Unit cell a=4.2715 b=4.2715 c=5.1397 alpha=90.00 beta=90.00 gamma=90.00
Last column: nearest neighbours and their distance in Å.
Fractional coordinates of all 5 atoms:
W: 0.0000 0.0000 0.5000  2 Nb 2.57
I: 0.5000 0.5000 0.5000  4 W 3.02, 8 B 3.34
Nb: 0.0000 0.0000 0.0000  4 B 2.14
B: 0.5000 0.0000 0.0000  2 Nb 2.14
B: 0.0000 0.5000 0.0000  2 Nb 2.14

uncorrected formation energy: 2.00 eV/atom
crystal system: tetragonal
calculated total energy: -144.40 eV per cell
ρ: 7.531 g/cm3


No. 19
The following is a SCAN calculation of HfWSe2N at its PBEsol-relaxed geometry, from the Alexandria database.

Unit cell a=3.7337 b=4.9962 c=4.9962 alpha=90.00 beta=90.00 gamma=90.00
Last column: nearest neighbours and their distance in Å.
Fractional coordinates of all 5 atoms:
Se: 0.0000 0.5000 0.0000  2 W 2.50
Se: 0.0000 0.0000 0.5000  2 W 2.50
Hf: 0.5000 0.5000 0.5000  8 Se 3.12
W: 0.0000 0.0000 0.0000  2 N 1.87
N: 0.5000 0.0000 0.0000  2 W 1.87

uncorrected formation energy: 0.18 eV/atom
crystal system: tetragonal
calculated total energy: -180.90 eV per cell
ρ: 9.519 g/cm3


No. 20
The following is a SCAN calculation of Nb2Co2P at its PBEsol-relaxed geometry, from the Alexandria database.

Unit cell a=4.1323 b=4.1323 c=5.4273 alpha=112.38 beta=112.38 gamma=90.00
Last column: nearest neighbours and their distance in Å.
Fractional coordinates of all 5 atoms:
Nb: 0.2500 0.7500 0.5000  4 Co 2.41
Nb: 0.7500 0.2500 0.5000  4 Co 2.41
P: 0.0000 0.0000 0.0000  8 Nb 3.08, 8 Co 3.10
Co: 0.6144 0.6144 0.2288  1 Co 2.09
Co: 0.3856 0.3856 0.7712  1 Co 2.09

crystal system: tetragonal
ΔH_f (0 K): 413 meV per atom
calculated total energy: -109.20 eV per cell
ρ: 7.115 g/cm3